Entry 1:
Below is a geometry-optimized MnNbCo5 structure, with properties calculated at the GGA-PBE level.

Results
DFT formation energy ... 0.218 eV/atom

Cell lengths 3.720, 3.720, 6.217 Å; angles 90.00, 90.00, 90.00 degrees
Positions (direct):
1 Mn 0.000 0.000 0.000
2 Nb 0.500 0.500 0.500
3 Co 0.000 0.000 0.500
4 Co 0.000 0.500 0.212
5 Co 0.000 0.500 0.788
6 Co 0.500 0.000 0.212
7 Co 0.500 0.000 0.788

Entry 2:
Below is a geometry-optimized Tl2PbO5 structure, with properties calculated at the GGA-PBE level.

Results
Formation energy (no corrections) ... -5.55 eV/f.u.

Cell lengths 7.614, 3.869, 16.390 Å; angles 90.00, 90.00, 90.00 degrees
Positions (direct):
1 Tl 0.110 0.250 0.245
2 Tl 0.128 0.250 0.592
3 Tl 0.372 0.750 0.092
4 Tl 0.390 0.750 0.745
5 Tl 0.610 0.250 0.255
6 Tl 0.628 0.250 0.908
7 Tl 0.872 0.750 0.408
8 Tl 0.890 0.750 0.755
9 Pb 0.143 0.250 0.928
10 Pb 0.357 0.750 0.428
11 Pb 0.643 0.250 0.572
12 Pb 0.857 0.750 0.072
13 O 0.077 0.750 0.159
14 O 0.102 0.750 0.974
15 O 0.135 0.750 0.691
16 O 0.138 0.750 0.520
17 O 0.147 0.750 0.338
18 O 0.353 0.250 0.838
19 O 0.362 0.250 0.020
20 O 0.365 0.250 0.191
21 O 0.398 0.250 0.474
22 O 0.423 0.250 0.659
23 O 0.577 0.750 0.341
24 O 0.602 0.750 0.526
25 O 0.635 0.750 0.809
26 O 0.638 0.750 0.980
27 O 0.647 0.750 0.162
28 O 0.853 0.250 0.662
29 O 0.862 0.250 0.480
30 O 0.865 0.250 0.309
31 O 0.898 0.250 0.026
32 O 0.923 0.250 0.841

Entry 3:
Below is a geometry-optimized LiZrF structure, with properties calculated at the GGA-PBE level.

Results
Formation energy (no corrections) ... -4.14 eV/f.u.

Cell lengths 2.944, 2.944, 11.972 Å; angles 90.00, 90.00, 120.00 degrees
Positions (direct):
1 Li 0.000 0.000 0.000
2 Li 0.333 0.667 0.500
3 Zr 0.333 0.667 0.228
4 Zr 0.333 0.667 0.772
5 F 0.000 0.000 0.394
6 F 0.000 0.000 0.606

Entry 4:
Below is a geometry-optimized KMo2W structure, with properties calculated at the GGA-PBE level.

Results
Energy relative to the lowest polymorph listed for this composition ... 0 meV per atom
DFT formation energy ... 0.748 eV/atom

Cell lengths 3.201, 4.605, 10.562 Å; angles 90.00, 90.00, 90.00 degrees
Positions (direct):
1 K 0.000 0.000 0.000
2 K 0.500 0.500 0.000
3 Mo 0.000 0.500 0.297
4 Mo 0.000 0.500 0.703
5 Mo 0.500 0.000 0.297
6 Mo 0.500 0.000 0.703
7 W 0.000 0.000 0.500
8 W 0.500 0.500 0.500

Entry 5:
Below is a geometry-optimized Hg3Se5 structure, with properties calculated at the GGA-PBE level.

Results
Energy relative to the lowest polymorph listed for this composition ... 3 meV per atom
Formation energy (no corrections) ... 0.43 eV/f.u.

Cell lengths 8.789, 8.789, 7.819 Å; angles 90.00, 90.00, 127.23 degrees
Positions (direct):
1 Hg 0.035 0.469 0.750
2 Hg 0.085 0.915 0.750
3 Hg 0.469 0.035 0.250
4 Hg 0.531 0.965 0.750
5 Hg 0.915 0.085 0.250
6 Hg 0.965 0.531 0.250
7 Se 0.217 0.783 0.511
8 Se 0.217 0.783 0.989
9 Se 0.240 0.289 0.750
10 Se 0.289 0.240 0.250
11 Se 0.432 0.568 0.250
12 Se 0.568 0.432 0.750
13 Se 0.711 0.760 0.750
14 Se 0.760 0.711 0.250
15 Se 0.783 0.217 0.011
16 Se 0.783 0.217 0.489

Entry 6:
Below is a geometry-optimized VGa3S structure, with properties calculated at the GGA-PBE level.

Results
Energy relative to the lowest polymorph listed for this composition ... 104 meV per atom
Formation energy (no corrections) ... 3.58 eV/f.u.

Cell lengths 4.812, 4.812, 4.812 Å; angles 90.00, 90.00, 90.00 degrees
Positions (direct):
1 V 0.000 0.000 0.000
2 Ga 0.000 0.500 0.500
3 Ga 0.500 0.000 0.500
4 Ga 0.500 0.500 0.000
5 S 0.500 0.500 0.500

Entry 7:
Below is a geometry-optimized LiCe2Si3Rh4 structure, with properties calculated at the GGA-PBE level.

Results
Formation energy (no corrections) ... -9.42 eV/f.u.

Cell lengths 4.079, 4.079, 10.215 Å; angles 90.00, 90.00, 90.00 degrees
Positions (direct):
1 Li 0.000 0.000 0.000
2 Ce 0.000 0.500 0.757
3 Ce 0.500 0.000 0.243
4 Si 0.000 0.500 0.374
5 Si 0.500 0.000 0.626
6 Si 0.500 0.500 0.000
7 Rh 0.000 0.000 0.500
8 Rh 0.000 0.500 0.138
9 Rh 0.500 0.000 0.862
10 Rh 0.500 0.500 0.500

Entry 8:
Below is a geometry-optimized CaEr2BiO6 structure, with properties calculated at the GGA-PBE level.

Results
Formation energy (no corrections) ... -26.92 eV/f.u.

Cell lengths 6.101, 6.101, 6.101 Å; angles 57.15, 57.15, 57.15 degrees
Positions (direct):
1 Ca 0.000 0.000 0.000
2 Er 0.281 0.281 0.281
3 Er 0.781 0.781 0.781
4 Bi 0.492 0.492 0.492
5 O 0.092 0.661 0.409
6 O 0.174 0.581 0.897
7 O 0.409 0.092 0.661
8 O 0.581 0.897 0.174
9 O 0.661 0.409 0.092
10 O 0.897 0.174 0.581

Entry 9:
Below is a geometry-optimized Tm2ScMn structure, with properties calculated at the GGA-PBE level.

Results
Energy relative to the lowest polymorph listed for this composition ... 383 meV per atom
DFT formation energy ... 0.493 eV/atom

Cell lengths 3.278, 3.278, 32.769 Å; angles 90.00, 90.00, 120.00 degrees
Positions (direct):
1 Tm 0.000 0.000 0.084
2 Tm 0.000 0.000 0.916
3 Tm 0.333 0.667 0.582
4 Tm 0.333 0.667 0.751
5 Tm 0.667 0.333 0.249
6 Tm 0.667 0.333 0.418
7 Sc 0.000 0.000 0.500
8 Sc 0.333 0.667 0.167
9 Sc 0.667 0.333 0.833
10 Mn 0.000 0.000 0.000
11 Mn 0.333 0.667 0.667
12 Mn 0.667 0.333 0.333

Entry 10:
Below is a geometry-optimized InGa2Si2 structure, with properties calculated at the GGA-PBE level.

Results
Energy relative to the lowest polymorph listed for this composition ... 0 meV per atom
Formation energy (no corrections) ... 0.72 eV/f.u.

Cell lengths 4.566, 4.566, 9.689 Å; angles 90.00, 90.00, 90.00 degrees
Positions (direct):
1 In 0.000 0.000 0.000
2 In 0.500 0.500 0.500
3 Ga 0.000 0.500 0.250
4 Ga 0.000 0.500 0.750
5 Ga 0.500 0.000 0.250
6 Ga 0.500 0.000 0.750
7 Si 0.000 0.000 0.378
8 Si 0.000 0.000 0.622
9 Si 0.500 0.500 0.122
10 Si 0.500 0.500 0.878

Entry 11:
Below is a geometry-optimized BaAc2Se structure, with properties calculated at the GGA-PBE level.

Results
Formation energy (no corrections) ... -2.72 eV/f.u.

Cell lengths 4.215, 4.215, 35.235 Å; angles 90.00, 90.00, 120.00 degrees
Positions (direct):
1 Ba 0.000 0.000 0.000
2 Ba 0.333 0.667 0.667
3 Ba 0.667 0.333 0.333
4 Ac 0.000 0.000 0.112
5 Ac 0.000 0.000 0.888
6 Ac 0.333 0.667 0.555
7 Ac 0.333 0.667 0.779
8 Ac 0.667 0.333 0.221
9 Ac 0.667 0.333 0.445
10 Se 0.000 0.000 0.500
11 Se 0.333 0.667 0.167
12 Se 0.667 0.333 0.833

Entry 12:
Below is a geometry-optimized DyPbIO6 structure, with properties calculated at the GGA-PBE level.

Results
Formation energy (no corrections) ... -12.95 eV/f.u.

Cell lengths 5.688, 5.688, 10.261 Å; angles 90.00, 90.00, 120.00 degrees
Positions (direct):
1 Dy 0.333 0.667 0.250
2 Dy 0.667 0.333 0.750
3 Pb 0.000 0.000 0.000
4 Pb 0.000 0.000 0.500
5 I 0.333 0.667 0.750
6 I 0.667 0.333 0.250
7 O 0.048 0.398 0.644
8 O 0.048 0.650 0.856
9 O 0.350 0.398 0.856
10 O 0.350 0.952 0.644
11 O 0.398 0.048 0.144
12 O 0.398 0.350 0.356
13 O 0.602 0.650 0.644
14 O 0.602 0.952 0.856
15 O 0.650 0.048 0.356
16 O 0.650 0.602 0.144
17 O 0.952 0.350 0.144
18 O 0.952 0.602 0.356

Entry 13:
Below is a geometry-optimized SrPt structure, with properties calculated at the GGA-PBE level.

Results
DFT formation energy ... -0.559 eV/atom

Cell lengths 4.217, 4.217, 3.805 Å; angles 90.00, 90.00, 120.00 degrees
Positions (direct):
1 Sr 0.000 0.000 0.000
2 Pt 0.667 0.333 0.500